DFT (PBE) results for crystalline Ac8Nd3Dy2 at its relaxed geometry.

Properties
total magnetization = 0.00 μB/f.u.
DFT formation energy = 0.230 eV/atom

Structure (CIF):
```
data_Ac8Nd3Dy2
_chemical_formula_sum 'Ac16 Nd6 Dy4'
_cell_length_a 15.769
_cell_length_b 9.907
_cell_length_c 7.263
_cell_angle_alpha 90.00
_cell_angle_beta 99.60
_cell_angle_gamma 90.00
_symmetry_space_group_name_H-M 'C 1 2/m 1'
_symmetry_Int_Tables_number 12
loop_
_symmetry_equiv_pos_as_xyz
'x,y,z'
'-x,-y,-z'
'-x,y,-z'
'x,-y,z'
'x+1/2,y+1/2,z'
'-x+1/2,-y+1/2,-z'
'-x+1/2,y+1/2,-z'
'x+1/2,-y+1/2,z'
loop_
_atom_site_label
_atom_site_type_symbol
_atom_site_fract_x
_atom_site_fract_y
_atom_site_fract_z
Ac1 Ac 0.088 0.000 0.372
Ac2 Ac 0.120 0.186 0.928
Ac3 Ac 0.198 0.500 0.317
Nd1 Nd 0.000 0.339 0.500
Nd2 Nd 0.000 0.500 0.000
Dy1 Dy 0.193 0.500 0.798
```